(1)
A plane-wave DFT calculation with PBE was carried out for a relaxed structure of YHgPt.

Computed properties:
- space-group type = I4mm (107)
- energy relative to the elements (eV per atom) = -0.783
- size of the total moment (μB/f.u.) = 0.0

Unit cell a=5.331 b=5.331 c=5.331 alpha=139.00 beta=139.00 gamma=59.38
Positions (direct):
Y1 0.000 0.000 0.000
Hg1 0.321 0.321 0.000
Pt1 0.649 0.649 0.000



(2)
A plane-wave DFT calculation with PBE was carried out for a relaxed structure of YHgPt.

Computed properties:
- space-group type = Pmma (51)
- energy relative to the elements (eV per atom) = -0.826
- size of the total moment (μB/f.u.) = 0.0

Unit cell a=13.306 b=3.836 c=7.836 alpha=90.00 beta=90.00 gamma=90.00
Positions (direct):
Y1 0.051 0.000 0.229
Y2 0.250 0.000 0.818
Y3 0.449 0.000 0.229
Y4 0.551 0.000 0.771
Y5 0.750 0.000 0.182
Y6 0.949 0.000 0.771
Hg1 0.107 0.500 0.564
Hg2 0.250 0.500 0.174
Hg3 0.393 0.500 0.564
Hg4 0.607 0.500 0.436
Hg5 0.750 0.500 0.826
Hg6 0.893 0.500 0.436
Pt1 0.094 0.500 0.929
Pt2 0.250 0.000 0.439
Pt3 0.406 0.500 0.929
Pt4 0.594 0.500 0.071
Pt5 0.750 0.000 0.561
Pt6 0.906 0.500 0.071



(3)
A plane-wave DFT calculation with PBE was carried out for a relaxed structure of Y5HgPt2.

Computed properties:
- space-group type = I4/mcm (140)
- energy relative to the elements (eV per atom) = -0.821
- size of the total moment (μB/f.u.) = 0.2

Unit cell a=8.672 b=8.672 c=8.672 alpha=125.92 beta=125.92 gamma=80.02
Positions (direct):
Y1 0.000 0.000 0.000
Y2 0.021 0.521 0.819
Y3 0.202 0.021 0.500
Y4 0.298 0.798 0.819
Y5 0.479 0.298 0.500
Y6 0.500 0.500 0.000
Y7 0.521 0.702 0.500
Y8 0.702 0.202 0.181
Y9 0.798 0.979 0.500
Y10 0.979 0.479 0.181
Hg1 0.250 0.250 0.000
Hg2 0.750 0.750 0.000
Pt1 0.136 0.364 0.500
Pt2 0.364 0.864 0.227
Pt3 0.636 0.136 0.773
Pt4 0.864 0.636 0.500



(4)
A plane-wave DFT calculation with PBE was carried out for a relaxed structure of YHg2Pt2.

Computed properties:
- space-group type = I4/mmm (139)
- energy relative to the elements (eV per atom) = -0.478
- size of the total moment (μB/f.u.) = 0.0

Unit cell a=7.350 b=7.350 c=7.350 alpha=148.29 beta=148.29 gamma=45.46
Positions (direct):
Y1 0.000 0.000 0.000
Hg1 0.250 0.750 0.500
Hg2 0.750 0.250 0.500
Pt1 0.405 0.405 0.000
Pt2 0.595 0.595 0.000



(5)
A plane-wave DFT calculation with PBE was carried out for a relaxed structure of YHgPt2.

Computed properties:
- space-group type = Cmmm (65)
- energy relative to the elements (eV per atom) = -0.682
- size of the total moment (μB/f.u.) = 0.0

Unit cell a=4.512 b=4.512 c=3.865 alpha=90.00 beta=90.00 gamma=95.02
Positions (direct):
Y1 0.000 0.000 0.000
Hg1 0.500 0.500 0.000
Pt1 0.000 0.500 0.500
Pt2 0.500 0.000 0.500



(6)
A plane-wave DFT calculation with PBE was carried out for a relaxed structure of YHg2Pt.

Computed properties:
- space-group type = I-42d (122)
- energy relative to the elements (eV per atom) = -0.281
- size of the total moment (μB/f.u.) = 0.0

Unit cell a=6.492 b=6.492 c=6.492 alpha=100.91 beta=100.91 gamma=128.42
Positions (direct):
Y1 0.000 0.000 0.000
Y2 0.750 0.250 0.500
Hg1 0.164 0.625 0.039
Hg2 0.375 0.414 0.539
Hg3 0.586 0.125 0.961
Hg4 0.875 0.836 0.461
Pt1 0.250 0.750 0.500
Pt2 0.500 0.500 0.000



(7)
A plane-wave DFT calculation with PBE was carried out for a relaxed structure of YHg2Pt.

Computed properties:
- space-group type = I4/mmm (139)
- energy relative to the elements (eV per atom) = -0.497
- size of the total moment (μB/f.u.) = 0.0

Unit cell a=5.361 b=5.361 c=5.361 alpha=131.22 beta=131.22 gamma=71.46
Positions (direct):
Y1 0.000 0.000 0.000
Hg1 0.250 0.750 0.500
Hg2 0.750 0.250 0.500
Pt1 0.500 0.500 0.000



(8)
A plane-wave DFT calculation with PBE was carried out for a relaxed structure of Y8HgPt2.

Computed properties:
- space-group type = Cm (8)
- energy relative to the elements (eV per atom) = -0.490
- size of the total moment (μB/f.u.) = 0.3

Unit cell a=8.016 b=8.016 c=5.511 alpha=98.02 beta=98.02 gamma=114.34
Positions (direct):
Y1 0.000 0.000 0.000
Y2 0.053 0.306 0.609
Y3 0.144 0.624 0.192
Y4 0.306 0.053 0.609
Y5 0.461 0.715 0.776
Y6 0.624 0.144 0.192
Y7 0.715 0.461 0.776
Y8 0.768 0.768 0.385
Hg1 0.384 0.384 0.194
Pt1 0.079 0.688 0.692
Pt2 0.688 0.079 0.692



(9)
A plane-wave DFT calculation with PBE was carried out for a relaxed structure of YHgPt.

Computed properties:
- space-group type = P-6m2 (187)
- energy relative to the elements (eV per atom) = -0.684
- size of the total moment (μB/f.u.) = 0.0

Unit cell a=4.732 b=4.732 c=3.428 alpha=90.00 beta=90.00 gamma=120.00
Positions (direct):
Y1 0.000 0.000 0.000
Hg1 0.667 0.333 0.500
Pt1 0.333 0.667 0.500



(10)
A plane-wave DFT calculation with PBE was carried out for a relaxed structure of ZnHgPt2.

Computed properties:
- space-group type = R3m (160)
- energy relative to the elements (eV per atom) = -0.043
- size of the total moment (μB/f.u.) = 0.0

Unit cell a=9.372 b=9.372 c=9.372 alpha=17.84 beta=17.84 gamma=17.84
Positions (direct):
Zn1 0.000 0.000 0.000
Hg1 0.756 0.756 0.756
Pt1 0.261 0.261 0.261
Pt2 0.511 0.511 0.511



(11)
A plane-wave DFT calculation with PBE was carried out for a relaxed structure of ZnHg2Pt.

Computed properties:
- space-group type = P4/mmm (123)
- energy relative to the elements (eV per atom) = 0.142
- size of the total moment (μB/f.u.) = 0.0

Unit cell a=3.037 b=3.037 c=8.153 alpha=90.00 beta=90.00 gamma=90.00
Positions (direct):
Zn1 0.000 0.000 0.000
Hg1 0.500 0.500 0.253
Hg2 0.500 0.500 0.747
Pt1 0.000 0.000 0.500



(12)
A plane-wave DFT calculation with PBE was carried out for a relaxed structure of Zn4HgPt15.

Computed properties:
- space-group type = P4/mmm (123)
- energy relative to the elements (eV per atom) = -0.251
- size of the total moment (μB/f.u.) = 0.0

Unit cell a=3.942 b=3.942 c=19.979 alpha=90.00 beta=90.00 gamma=90.00
Positions (direct):
Zn1 0.000 0.000 0.098
Zn2 0.000 0.000 0.295
Zn3 0.000 0.000 0.705
Zn4 0.000 0.000 0.902
Hg1 0.000 0.000 0.500
Pt1 0.000 0.500 0.000
Pt2 0.000 0.500 0.196
Pt3 0.000 0.500 0.392
Pt4 0.000 0.500 0.608
Pt5 0.000 0.500 0.804
Pt6 0.500 0.000 0.000
Pt7 0.500 0.000 0.196
Pt8 0.500 0.000 0.392
Pt9 0.500 0.000 0.608
Pt10 0.500 0.000 0.804
Pt11 0.500 0.500 0.098
Pt12 0.500 0.500 0.294
Pt13 0.500 0.500 0.500
Pt14 0.500 0.500 0.706
Pt15 0.500 0.500 0.902



(13)
A plane-wave DFT calculation with PBE was carried out for a relaxed structure of ZnHgPt2.

Computed properties:
- space-group type = Cm (8)
- energy relative to the elements (eV per atom) = -0.139
- size of the total moment (μB/f.u.) = 0.0

Unit cell a=5.014 b=5.014 c=4.860 alpha=100.53 beta=100.53 gamma=34.08
Positions (direct):
Zn1 0.000 0.000 0.000
Hg1 0.768 0.768 0.322
Pt1 0.262 0.262 0.826
Pt2 0.520 0.520 0.534



(14)
A plane-wave DFT calculation with PBE was carried out for a relaxed structure of ZnHg2Pt.

Computed properties:
- space-group type = Imm2 (44)
- energy relative to the elements (eV per atom) = 0.015
- size of the total moment (μB/f.u.) = 0.0

Unit cell a=5.429 b=5.429 c=5.429 alpha=140.29 beta=132.18 gamma=63.85
Positions (direct):
Zn1 0.000 0.000 0.000
Hg1 0.464 0.464 0.000
Hg2 0.742 0.242 0.500
Pt1 0.197 0.697 0.500



(15)
A plane-wave DFT calculation with PBE was carried out for a relaxed structure of ZnHg2Pt.

Computed properties:
- space-group type = Pm (6)
- energy relative to the elements (eV per atom) = -0.011
- size of the total moment (μB/f.u.) = 0.0

Unit cell a=3.752 b=4.131 c=5.404 alpha=90.00 beta=109.00 gamma=90.00
Positions (direct):
Zn1 0.000 0.000 0.000
Hg1 0.285 0.000 0.541
Hg2 0.574 0.500 0.159
Pt1 0.867 0.500 0.709



(16)
A plane-wave DFT calculation with PBE was carried out for a relaxed structure of ZnHg2Pt.

Computed properties:
- space-group type = R-3m (166)
- energy relative to the elements (eV per atom) = 0.147
- size of the total moment (μB/f.u.) = 0.0

Unit cell a=9.101 b=9.101 c=9.101 alpha=19.83 beta=19.83 gamma=19.83
Positions (direct):
Zn1 0.000 0.000 0.000
Hg1 0.251 0.251 0.251
Hg2 0.749 0.749 0.749
Pt1 0.500 0.500 0.500



(17)
A plane-wave DFT calculation with PBE was carried out for a relaxed structure of ZnHgPt2.

Computed properties:
- space-group type = I-4m2 (119)
- energy relative to the elements (eV per atom) = -0.108
- size of the total moment (μB/f.u.) = 0.0

Unit cell a=5.005 b=5.005 c=5.005 alpha=132.69 beta=132.69 gamma=69.15
Positions (direct):
Zn1 0.000 0.000 0.000
Hg1 0.250 0.750 0.500
Pt1 0.500 0.500 0.000
Pt2 0.750 0.250 0.500



(18)
A plane-wave DFT calculation with PBE was carried out for a relaxed structure of ZnHgPt2.

Computed properties:
- space-group type = C2/m (12)
- energy relative to the elements (eV per atom) = -0.139
- size of the total moment (μB/f.u.) = 0.0

Unit cell a=4.712 b=4.712 c=5.233 alpha=101.94 beta=101.94 gamma=36.42
Positions (direct):
Zn1 0.000 0.000 0.000
Hg1 0.500 0.500 0.500
Pt1 0.266 0.266 0.772
Pt2 0.734 0.734 0.228



(19)
A plane-wave DFT calculation with PBE was carried out for a relaxed structure of ZnHgPt2.

Computed properties:
- space-group type = I-42d (122)
- energy relative to the elements (eV per atom) = 0.052
- size of the total moment (μB/f.u.) = 0.0

Unit cell a=9.712 b=9.712 c=9.712 alpha=156.47 beta=156.47 gamma=33.52
Positions (direct):
Zn1 0.000 0.000 0.000
Zn2 0.750 0.250 0.500
Hg1 0.250 0.750 0.500
Hg2 0.500 0.500 0.000
Pt1 0.107 0.625 0.982
Pt2 0.375 0.357 0.482
Pt3 0.643 0.125 0.018
Pt4 0.875 0.893 0.518



(20)
A plane-wave DFT calculation with PBE was carried out for a relaxed structure of Zn2HgPt2.

Computed properties:
- space-group type = P4/mbm (127)
- energy relative to the elements (eV per atom) = -0.350
- size of the total moment (μB/f.u.) = 0.0

Unit cell a=7.538 b=7.538 c=2.917 alpha=90.00 beta=90.00 gamma=90.00
Positions (direct):
Zn1 0.155 0.345 0.000
Zn2 0.345 0.845 0.000
Zn3 0.655 0.155 0.000
Zn4 0.845 0.655 0.000
Hg1 0.000 0.000 0.500
Hg2 0.500 0.500 0.500
Pt1 0.141 0.641 0.500
Pt2 0.359 0.141 0.500
Pt3 0.641 0.859 0.500
Pt4 0.859 0.359 0.500



(21)
A plane-wave DFT calculation with PBE was carried out for a relaxed structure of ZnHg2Pt.

Computed properties:
- space-group type = F-43m (216)
- energy relative to the elements (eV per atom) = 0.106
- size of the total moment (μB/f.u.) = 0.0

Unit cell a=4.711 b=4.711 c=4.711 alpha=60.00 beta=60.00 gamma=60.00
Positions (direct):
Zn1 0.000 0.000 0.000
Hg1 0.500 0.500 0.500
Hg2 0.750 0.750 0.750
Pt1 0.250 0.250 0.250



(22)
A plane-wave DFT calculation with PBE was carried out for a relaxed structure of ZnHgPt2.

Computed properties:
- space-group type = P2/m (10)
- energy relative to the elements (eV per atom) = -0.237
- size of the total moment (μB/f.u.) = 0.0

Unit cell a=2.938 b=3.691 c=6.088 alpha=90.00 beta=90.12 gamma=90.00
Positions (direct):
Zn1 0.000 0.000 0.000
Hg1 0.000 0.000 0.500
Pt1 0.498 0.500 0.227
Pt2 0.502 0.500 0.773



(23)
A plane-wave DFT calculation with PBE was carried out for a relaxed structure of ZnHgPt2.

Computed properties:
- space-group type = Pm (6)
- energy relative to the elements (eV per atom) = -0.159
- size of the total moment (μB/f.u.) = 0.0

Unit cell a=2.946 b=4.652 c=4.861 alpha=90.00 beta=90.05 gamma=90.00
Positions (direct):
Zn1 0.000 0.000 0.000
Hg1 0.998 0.500 0.400
Pt1 0.498 0.000 0.529
Pt2 0.498 0.500 0.905



(24)
A plane-wave DFT calculation with PBE was carried out for a relaxed structure of ZnHg2Pt.

Computed properties:
- space-group type = P4/mmm (123)
- energy relative to the elements (eV per atom) = 0.068
- size of the total moment (μB/f.u.) = 0.0

Unit cell a=4.187 b=4.187 c=4.181 alpha=90.00 beta=90.00 gamma=90.00
Positions (direct):
Zn1 0.000 0.000 0.000
Hg1 0.000 0.500 0.500
Hg2 0.500 0.000 0.500
Pt1 0.500 0.500 0.000



(25)
A plane-wave DFT calculation with PBE was carried out for a relaxed structure of ZnHg4Pt.

Computed properties:
- space-group type = F-43m (216)
- energy relative to the elements (eV per atom) = 0.493
- size of the total moment (μB/f.u.) = 0.0

Unit cell a=5.741 b=5.741 c=5.741 alpha=60.00 beta=60.00 gamma=60.00
Positions (direct):
Zn1 0.000 0.000 0.000
Hg1 0.126 0.625 0.625
Hg2 0.625 0.126 0.625
Hg3 0.625 0.625 0.126
Hg4 0.625 0.625 0.625
Pt1 0.250 0.250 0.250



(26)
A plane-wave DFT calculation with PBE was carried out for a relaxed structure of ZnHg2Pt.

Computed properties:
- space-group type = C2/m (12)
- energy relative to the elements (eV per atom) = 0.086
- size of the total moment (μB/f.u.) = 0.0

Unit cell a=5.625 b=5.625 c=3.245 alpha=104.30 beta=104.30 gamma=119.28
Positions (direct):
Zn1 0.000 0.000 0.000
Hg1 0.000 0.500 0.000
Hg2 0.500 0.000 0.000
Pt1 0.500 0.500 0.000



(27)
A plane-wave DFT calculation with PBE was carried out for a relaxed structure of ZnHgPt2.

Computed properties:
- space-group type = R-3m (166)
- energy relative to the elements (eV per atom) = -0.190
- size of the total moment (μB/f.u.) = 0.0

Unit cell a=9.585 b=9.585 c=9.585 alpha=17.24 beta=17.24 gamma=17.24
Positions (direct):
Zn1 0.000 0.000 0.000
Hg1 0.500 0.500 0.500
Pt1 0.261 0.261 0.261
Pt2 0.739 0.739 0.739